# Li3PN GGA-PBEsol optimized geometry
# Total magnetization (μB/cell): 3.0
data_Li3PN
_chemical_formula_sum 'Li3 P1 N1'
_cell_length_a 4.652
_cell_length_b 4.652
_cell_length_c 4.652
_cell_angle_alpha 90.00
_cell_angle_beta 90.00
_cell_angle_gamma 90.00
_symmetry_space_group_name_H-M 'P m -3 m'
_symmetry_Int_Tables_number 221
_symmetry_space_group_name_Hall '-P 4 2 3'
loop_
_atom_site_label
_atom_site_fract_x
_atom_site_fract_y
_atom_site_fract_z
Li1 0.000 0.000 0.500
P1 0.000 0.000 0.000
N1 0.500 0.500 0.500

***

# Li7PN4 GGA-PBEsol optimized geometry
# Total magnetization (μB/cell): 0.0
data_Li7PN4
_chemical_formula_sum 'Li56 P8 N32'
_cell_length_a 9.293
_cell_length_b 9.293
_cell_length_c 9.293
_cell_angle_alpha 90.00
_cell_angle_beta 90.00
_cell_angle_gamma 90.00
_symmetry_space_group_name_H-M 'P -4 3 n'
_symmetry_Int_Tables_number 218
_symmetry_space_group_name_Hall 'P -4n 2 3'
loop_
_atom_site_label
_atom_site_fract_x
_atom_site_fract_y
_atom_site_fract_z
Li1 0.000 0.000 0.264
Li2 0.000 0.000 0.500
Li3 0.000 0.250 0.500
Li4 0.024 0.237 0.747
Li5 0.226 0.226 0.226
P1 0.000 0.000 0.000
P2 0.000 0.500 0.250
N1 0.100 0.387 0.351
N2 0.104 0.104 0.104

***

# LiPSN2 GGA-PBEsol optimized geometry
# Total magnetization (μB/cell): 1.2
data_LiPSN2
_chemical_formula_sum 'Li1 P1 S1 N2'
_cell_length_a 3.493
_cell_length_b 3.493
_cell_length_c 4.688
_cell_angle_alpha 90.00
_cell_angle_beta 90.00
_cell_angle_gamma 90.00
_symmetry_space_group_name_H-M 'P 4/m m m'
_symmetry_Int_Tables_number 123
_symmetry_space_group_name_Hall '-P 4 2'
loop_
_atom_site_label
_atom_site_fract_x
_atom_site_fract_y
_atom_site_fract_z
Li1 0.000 0.000 0.000
P1 0.500 0.500 0.500
S1 0.000 0.000 0.500
N1 0.000 0.500 0.000

***

# LiP2SN GGA-PBEsol optimized geometry
# Total magnetization (μB/cell): 2.1
data_LiP2SN
_chemical_formula_sum 'Li1 P2 S1 N1'
_cell_length_a 4.277
_cell_length_b 4.277
_cell_length_c 4.111
_cell_angle_alpha 90.00
_cell_angle_beta 90.00
_cell_angle_gamma 90.00
_symmetry_space_group_name_H-M 'P 4/m m m'
_symmetry_Int_Tables_number 123
_symmetry_space_group_name_Hall '-P 4 2'
loop_
_atom_site_label
_atom_site_fract_x
_atom_site_fract_y
_atom_site_fract_z
Li1 0.000 0.000 0.000
P1 0.000 0.500 0.000
S1 0.000 0.000 0.500
N1 0.500 0.500 0.500

***

# LiPS2N GGA-PBEsol optimized geometry
# Relative energy among the computed polymorphs (eV/atom): 0.000
# Total magnetization (μB/cell): 0.0
data_LiPS2N
_chemical_formula_sum 'Li1 P1 S2 N1'
_cell_length_a 4.397
_cell_length_b 4.397
_cell_length_c 3.385
_cell_angle_alpha 90.00
_cell_angle_beta 90.00
_cell_angle_gamma 90.00
_symmetry_space_group_name_H-M 'P 4/m m m'
_symmetry_Int_Tables_number 123
_symmetry_space_group_name_Hall '-P 4 2'
loop_
_atom_site_label
_atom_site_fract_x
_atom_site_fract_y
_atom_site_fract_z
Li1 0.000 0.000 0.000
P1 0.500 0.500 0.500
S1 0.000 0.500 0.000
N1 0.000 0.000 0.500

***

# LiPS2N GGA-PBEsol optimized geometry
# Relative energy among the computed polymorphs (eV/atom): 0.477
# Total magnetization (μB/cell): 2.0
data_LiPS2N
_chemical_formula_sum 'Li1 P1 S2 N1'
_cell_length_a 4.112
_cell_length_b 4.112
_cell_length_c 4.607
_cell_angle_alpha 90.00
_cell_angle_beta 90.00
_cell_angle_gamma 90.00
_symmetry_space_group_name_H-M 'P 4/m m m'
_symmetry_Int_Tables_number 123
_symmetry_space_group_name_Hall '-P 4 2'
loop_
_atom_site_label
_atom_site_fract_x
_atom_site_fract_y
_atom_site_fract_z
Li1 0.000 0.000 0.000
P1 0.000 0.000 0.500
S1 0.000 0.500 0.000
N1 0.500 0.500 0.500

***

For each record above, in turn, the calculated E_form (uncorrected) values are 578.8, -818.8, 1719.2, 1700.8, 1144.4, 1621.0 meV/atom.